First-principles (PBE) data for Cr3NCl after structural relaxation, as listed in Alexandria via LeMat-Bulk.

Cell lengths 3.9026, 3.9026, 3.9026 Å; angles 90.00, 90.00, 90.00 degrees
With the nearest neighbours (Å) after each atom.
Space group Pm-3m (No. 221)
Asymmetric unit:
Cr 0.0000 0.0000 0.5000 [3 per cell]  2 N 1.95
N 0.0000 0.0000 0.0000 [1 per cell]  6 Cr 1.95
Cl 0.5000 0.5000 0.5000 [1 per cell]  12 Cr 2.76

Calculated values
- distance to the lowest polymorph of the same formula (meV per atom) = 0

First-principles (PBE) data for CrN2Cl after structural relaxation, as listed in Alexandria via LeMat-Bulk.

Cell lengths 2.9562, 2.9562, 19.9659 Å; angles 90.00, 90.00, 120.00 degrees
With the nearest neighbours (Å) after each atom.
Space group R-3m (No. 166, hexagonal axes)
Asymmetric unit:
Cr 0.0000 0.0000 0.0000 [3 per cell]  2 N 1.71
N 0.0000 0.0000 0.0858 [6 per cell]  1 Cr 1.71
Cl 0.0000 0.0000 0.5000 [3 per cell]  6 N 2.35

Calculated values
- distance to the lowest polymorph of the same formula (meV per atom) = 1472

First-principles (PBE) data for CrNCl3 after structural relaxation, as listed in Alexandria via LeMat-Bulk.

Cell lengths 4.5415, 4.5415, 4.5415 Å; angles 90.00, 90.00, 90.00 degrees
With the nearest neighbours (Å) after each atom.
Space group Pm-3m (No. 221)
Asymmetric unit:
Cr 0.0000 0.0000 0.0000 [1 per cell]  6 Cl 2.27
N 0.5000 0.5000 0.5000 [1 per cell]  12 Cl 3.21
Cl 0.0000 0.0000 0.5000 [3 per cell]  2 Cr 2.27

Calculated values
- distance to the lowest polymorph of the same formula (meV per atom) = 178

First-principles (PBE) data for CrN2Cl after structural relaxation, as listed in Alexandria via LeMat-Bulk.

Cell lengths 2.9801, 2.9801, 17.6697 Å; angles 90.00, 90.00, 120.00 degrees
With the nearest neighbours (Å) after each atom.
Space group R-3m (No. 166, hexagonal axes)
Asymmetric unit:
Cr 0.0000 0.0000 0.0000 [3 per cell]  6 N 1.99
N 0.0000 0.0000 0.3903 [6 per cell]  1 Cl 1.94, 3 Cr 1.99
Cl 0.0000 0.0000 0.5000 [3 per cell]  2 N 1.94

Calculated values
- distance to the lowest polymorph of the same formula (meV per atom) = 72